[1]
Compound: TaCrMo
Source: Alexandria via LeMat-Bulk
Functional: PBE
Structure: relaxed

Computed properties:
Spin magnetization: 0.00 μB per atom
Energy of formation from the pure elements: 0.22 eV/atom
Energy above the lowest structure with this stoichiometry: 0.2818 eV per atom

Cell: 6.139 5.051 4.967 Å, 75.58 52.83 51.59°
Atoms (fractional coordinates):
Ta 0.164 0.836 0.164
Ta 0.836 0.164 0.836
Cr 0.250 0.250 0.250
Cr 0.750 0.750 0.750
Mo 0.343 0.343 0.657
Mo 0.657 0.657 0.343


[2]
Compound: TaCrMo
Source: Alexandria via LeMat-Bulk
Functional: PBE
Structure: relaxed

Computed properties:
Spin magnetization: 0.00 μB per atom
Energy of formation from the pure elements: -0.02 eV/atom
Energy above the lowest structure with this stoichiometry: 0.0406 eV per atom

Cell: 3.128 6.976 6.976 Å, 37.05 90.00 90.00°
Atoms (fractional coordinates):
Ta 0.000 0.000 0.000
Ta 0.000 0.334 0.334
Cr 0.000 0.673 0.673
Cr 0.500 0.828 0.828
Mo 0.500 0.170 0.170
Mo 0.500 0.508 0.508


[3]
Compound: TaCrMo4
Source: Alexandria via LeMat-Bulk
Functional: PBE
Structure: relaxed

Computed properties:
Spin magnetization: 0.45 μB per atom
Energy of formation from the pure elements: 0.29 eV/atom

Cell: 5.224 5.224 5.224 Å, 60.00 60.00 60.00°
Atoms (fractional coordinates):
Ta 0.000 0.000 0.000
Cr 0.750 0.750 0.750
Mo 0.374 0.374 0.374
Mo 0.374 0.374 0.877
Mo 0.374 0.877 0.374
Mo 0.877 0.374 0.374


[4]
Compound: TaCrMoW
Source: Alexandria via LeMat-Bulk
Functional: PBE
Structure: relaxed

Computed properties:
Spin magnetization: 0.00 μB per atom
Energy of formation from the pure elements: -0.06 eV/atom

Cell: 4.435 4.435 4.435 Å, 60.00 60.00 60.00°
Atoms (fractional coordinates):
Ta 0.000 0.000 0.000
Cr 0.750 0.750 0.750
Mo 0.250 0.250 0.250
W 0.500 0.500 0.500